# PBE-GGA InAu2Se2, optimized geometry
# Energy relative to the lowest polymorph listed for this composition ... 0 meV per atom
# ΔE_f (raw) ... 0.05 eV/atom
# VASP energy ... -3.207 eV per atom
data_InAu2Se2
_cell_length_a 3.989
_cell_length_b 3.989
_cell_length_c 7.790
_cell_angle_alpha 75.17
_cell_angle_beta 75.17
_cell_angle_gamma 90.00
_space_group_name_H-M_alt 'P 1'
_space_group_IT_number 1
_space_group_name_Hall 'P 1'
loop_
_atom_site_label
_atom_site_type_symbol
_atom_site_fract_x
_atom_site_fract_y
_atom_site_fract_z
Au1 Au 0.250 0.750 0.500
Se1 Se 0.614 0.614 0.773
In1 In 0.000 0.000 0.000
Se2 Se 0.386 0.386 0.227
Au2 Au 0.750 0.250 0.500